No. 1
VASP calculation (GGA-PBE) on a relaxed SrMnZn3 crystal.

The space group is Pm-3m (No. 221) and the conventional cell measures 4.823, 4.823 and 4.823 Å, with angles of 90.00, 90.00 and 90.00 degrees. Symmetry generates all atoms from Sr at (0.000, 0.000, 0.000), Mn at (0.500, 0.500, 0.500) and Zn at (0.000, 0.500, 0.500).

For the density of states at the Fermi level, the calculation gives 5.5 states/eV/f.u. For the total moment, the calculation gives 2.40 μB per cell. The energy above the lowest structure with this stoichiometry is 0.000 eV per formula unit.


No. 2
VASP calculation (GGA-PBE) on a relaxed SrMnZn4 crystal.

The space group is F-43m (No. 216) and the conventional cell measures 7.594, 7.594 and 7.594 Å, with angles of 90.00, 90.00 and 90.00 degrees. Symmetry generates all atoms from Sr at (0.000, 0.000, 0.000), Mn at (0.250, 0.250, 0.250) and Zn at (0.123, 0.123, 0.623).

For the density of states at the Fermi level, the calculation gives 1.4 states/eV/f.u. For the total moment, the calculation gives 12.60 μB per cell.


No. 3
VASP calculation (GGA-PBE) on a relaxed SrMn3Zn crystal.

The space group is Pm-3m (No. 221) and the conventional cell measures 5.345, 5.345 and 5.345 Å, with angles of 90.00, 90.00 and 90.00 degrees. Symmetry generates all atoms from Sr at (0.000, 0.000, 0.000), Mn at (0.000, 0.000, 0.500) and Zn at (0.500, 0.500, 0.500).

For the density of states at the Fermi level, the calculation gives 2.5 states/eV/f.u. For the total moment, the calculation gives 12.49 μB per cell. The energy above the lowest structure with this stoichiometry is 6.573 eV per formula unit.


No. 4
VASP calculation (GGA-PBE) on a relaxed SrMn3Zn crystal.

The space group is Pm-3m (No. 221) and the conventional cell measures 4.863, 4.863 and 4.863 Å, with angles of 90.00, 90.00 and 90.00 degrees. Symmetry generates all atoms from Sr at (0.000, 0.000, 0.000), Mn at (0.000, 0.500, 0.500) and Zn at (0.500, 0.500, 0.500).

For the density of states at the Fermi level, the calculation gives 6.0 states/eV/f.u. For the total moment, the calculation gives 11.87 μB per cell. The energy above the lowest structure with this stoichiometry is 0.000 eV per formula unit.


No. 5
VASP calculation (GGA-PBE) on a relaxed SrMn2Zn crystal.

The space group is I-4m2 (No. 119) and the conventional cell measures 5.009, 5.009 and 6.905 Å, with angles of 90.00, 90.00 and 90.00 degrees. Symmetry generates all atoms from Sr at (0.000, 0.000, 0.000), Mn at (0.000, 0.000, 0.500), Mn at (0.000, 0.500, 0.250) and Zn at (0.000, 0.500, 0.750).

For the density of states at the Fermi level, the calculation gives 3.3 states/eV/f.u. For the total moment, the calculation gives 15.69 μB per cell.


No. 6
VASP calculation (GGA-PBE) on a relaxed SrMnZn3 crystal.

The space group is Pm-3m (No. 221) and the conventional cell measures 5.858, 5.858 and 5.858 Å, with angles of 90.00, 90.00 and 90.00 degrees. Symmetry generates all atoms from Sr at (0.000, 0.000, 0.000), Mn at (0.500, 0.500, 0.500) and Zn at (0.000, 0.000, 0.500).

For the density of states at the Fermi level, the calculation gives 6.3 states/eV/f.u. For the total moment, the calculation gives 4.28 μB per cell. The energy above the lowest structure with this stoichiometry is 5.543 eV per formula unit.


No. 7
VASP calculation (GGA-PBE) on a relaxed Sr3MnZn crystal.

The space group is Pm-3m (No. 221) and the conventional cell measures 5.647, 5.647 and 5.647 Å, with angles of 90.00, 90.00 and 90.00 degrees. Symmetry generates all atoms from Sr at (0.000, 0.000, 0.500), Mn at (0.000, 0.000, 0.000) and Zn at (0.500, 0.500, 0.500).

For the density of states at the Fermi level, the calculation gives 9.1 states/eV/f.u. For the total moment, the calculation gives 0.00 μB per cell. The energy above the lowest structure with this stoichiometry is 0.000 eV per formula unit.


No. 8
VASP calculation (GGA-PBE) on a relaxed SrMn2Zn crystal.

The space group is I4_1/amd (No. 141, origin choice 2) and the conventional cell measures 4.515, 4.515 and 18.146 Å, with angles of 90.00, 90.00 and 90.00 degrees. Symmetry generates all atoms from Sr at (0.000, 0.250, 0.375), Mn at (0.000, 0.000, 0.000) and Zn at (0.000, 0.250, 0.875).

For the density of states at the Fermi level, the calculation gives 4.0 states/eV/f.u. For the total moment, the calculation gives 18.26 μB per cell.


no.,ΔH_f (0 K) (eV per atom),energy (eV/atom)
1,0.11,-2.821
2,0.02,-2.642
3,2.01,-4.084
4,0.69,-5.399
5,0.56,-4.766
6,1.22,-1.712
7,0.70,-2.395
8,0.61,-4.712